(1)
Entry from Alexandria via LeMat-Bulk: a relaxed structure of NaPrPb3 (PBE-GGA).

a b c (Å): 6.592 14.330 6.520
angles (deg): 90.00 90.13 90.00
Atoms (fractional coordinates):
Na: 0.000 0.101 0.250
Na: 0.000 0.899 0.750
Na: 0.500 0.101 0.250
Na: 0.500 0.899 0.750
Pr: 0.250 0.316 0.503
Pr: 0.250 0.684 0.003
Pr: 0.750 0.316 0.997
Pr: 0.750 0.684 0.497
Pb: 0.000 0.496 0.750
Pb: 0.000 0.504 0.250
Pb: 0.250 0.103 0.716
Pb: 0.250 0.286 0.012
Pb: 0.250 0.714 0.512
Pb: 0.250 0.897 0.216
Pb: 0.500 0.496 0.750
Pb: 0.500 0.504 0.250
Pb: 0.750 0.103 0.784
Pb: 0.750 0.286 0.488
Pb: 0.750 0.714 0.988
Pb: 0.750 0.897 0.284

Summary:
- spin magnetization (μB/f.u.) = 0.0
- E above lowest polymorph (meV/atom) = 0
- E_form (eV per atom) = -0.255



(2)
Entry from Alexandria via LeMat-Bulk: a relaxed structure of NpVGaRu (PBE-GGA).

a b c (Å): 6.429 6.429 6.429
angles (deg): 90.00 90.00 90.00
Atoms (fractional coordinates):
Np: 0.000 0.000 0.000
Np: 0.000 0.500 0.500
Np: 0.500 0.000 0.500
Np: 0.500 0.500 0.000
V: 0.250 0.250 0.250
V: 0.250 0.750 0.750
V: 0.750 0.250 0.750
V: 0.750 0.750 0.250
Ga: 0.000 0.000 0.500
Ga: 0.000 0.500 0.000
Ga: 0.500 0.000 0.000
Ga: 0.500 0.500 0.500
Ru: 0.250 0.250 0.750
Ru: 0.250 0.750 0.250
Ru: 0.750 0.250 0.250
Ru: 0.750 0.750 0.750

Summary:
- spin magnetization (μB/f.u.) = 5.0
- E_form (eV per atom) = -0.089



(3)
Entry from Alexandria via LeMat-Bulk: a relaxed structure of CaCdIr3 (PBE-GGA).

a b c (Å): 4.805 4.805 4.805
angles (deg): 90.00 90.00 90.00
Atoms (fractional coordinates):
Ca: 0.000 0.000 0.000
Cd: 0.500 0.500 0.500
Ir: 0.000 0.000 0.500
Ir: 0.000 0.500 0.000
Ir: 0.500 0.000 0.000

Summary:
- spin magnetization (μB/f.u.) = 0.0
- E above lowest polymorph (meV/atom) = 551
- E_form (eV per atom) = 2.042



(4)
Entry from Alexandria via LeMat-Bulk: a relaxed structure of Pm2Dy2Pd3 (PBE-GGA).

a b c (Å): 3.934 7.009 7.351
angles (deg): 97.02 105.51 106.26
Atoms (fractional coordinates):
Pm: 0.190 0.274 0.108
Pm: 0.810 0.726 0.892
Dy: 0.098 0.773 0.423
Dy: 0.902 0.227 0.577
Pd: 0.428 0.049 0.806
Pd: 0.500 0.500 0.500
Pd: 0.572 0.951 0.194

Summary:
- spin magnetization (μB/f.u.) = 0.0
- E_form (eV per atom) = -0.688



(5)
Entry from Alexandria via LeMat-Bulk: a relaxed structure of Dy5Zn4Tc (PBE-GGA).

a b c (Å): 3.533 3.533 17.809
angles (deg): 90.00 90.00 90.00
Atoms (fractional coordinates):
Dy: 0.000 0.000 0.000
Dy: 0.000 0.000 0.202
Dy: 0.000 0.000 0.409
Dy: 0.000 0.000 0.591
Dy: 0.000 0.000 0.798
Zn: 0.500 0.500 0.101
Zn: 0.500 0.500 0.304
Zn: 0.500 0.500 0.696
Zn: 0.500 0.500 0.899
Tc: 0.500 0.500 0.500

Summary:
- spin magnetization (μB/f.u.) = 0.0
- E_form (eV per atom) = -0.273



(6)
Entry from Alexandria via LeMat-Bulk: a relaxed structure of NaSrScF6 (PBE-GGA).

a b c (Å): 5.715 5.715 10.228
angles (deg): 90.00 90.00 120.00
Atoms (fractional coordinates):
Na: 0.333 0.667 0.250
Na: 0.667 0.333 0.750
Sr: 0.000 0.000 0.000
Sr: 0.000 0.000 0.500
Sc: 0.333 0.667 0.750
Sc: 0.667 0.333 0.250
F: 0.037 0.369 0.639
F: 0.037 0.667 0.861
F: 0.333 0.369 0.861
F: 0.333 0.963 0.639
F: 0.369 0.037 0.139
F: 0.369 0.333 0.361
F: 0.631 0.667 0.639
F: 0.631 0.963 0.861
F: 0.667 0.037 0.361
F: 0.667 0.631 0.139
F: 0.963 0.333 0.139
F: 0.963 0.631 0.361

Summary:
- spin magnetization (μB/f.u.) = 0.1
- formation energy without anion corrections (eV per atom) = -3.7052



(7)
Entry from Alexandria via LeMat-Bulk: a relaxed structure of Pm2GaSe3 (PBE-GGA).

a b c (Å): 3.804 4.955 16.363
angles (deg): 90.00 90.00 90.00
Atoms (fractional coordinates):
Pm: 0.000 0.000 0.145
Pm: 0.000 0.000 0.855
Pm: 0.500 0.500 0.355
Pm: 0.500 0.500 0.645
Ga: 0.000 0.000 0.500
Ga: 0.500 0.500 0.000
Se: 0.000 0.000 0.325
Se: 0.000 0.000 0.675
Se: 0.000 0.500 0.500
Se: 0.500 0.000 0.000
Se: 0.500 0.500 0.175
Se: 0.500 0.500 0.825

Summary:
- spin magnetization (μB/f.u.) = 0.0
- formation energy without anion corrections (eV per atom) = -1.2698



(8)
Entry from Alexandria via LeMat-Bulk: a relaxed structure of NaHfIn2 (PBE-GGA).

a b c (Å): 5.403 5.403 3.151
angles (deg): 90.00 90.00 90.00
Atoms (fractional coordinates):
Na: 0.000 0.000 0.000
Hf: 0.500 0.500 0.000
In: 0.000 0.500 0.500
In: 0.500 0.000 0.500

Summary:
- spin magnetization (μB/f.u.) = 0.2
- E above lowest polymorph (meV/atom) = 27
- E_form (eV per atom) = -0.061